<A>
## Co2PbCl (PBE-GGA)

Data for crystalline Co2PbCl at its relaxed geometry.

The value obtained for the magnetization is 3.7 μB/f.u.

The structure belongs to space group P4mm (No. 99); the cell edges are 3.2066, 3.2066 and 7.6518 Å and the angles 90.00°, 90.00° and 90.00°. Symmetry generates all atoms from Co at (0.0000, 0.0000, 0.0000), Co at (0.5000, 0.5000, 0.1235), Pb at (0.0000, 0.0000, 0.3765) and Cl at (0.5000, 0.5000, 0.8146).


<B>
## Co2PbCl (PBE-GGA)

Data for crystalline Co2PbCl at its relaxed geometry.

The value obtained for the magnetization is 2.8 μB/f.u.

The structure belongs to space group Pmmm (No. 47); the cell edges are 3.0828, 4.2030 and 5.5002 Å and the angles 90.00°, 90.00° and 90.00°. Symmetry generates all atoms from Co at (0.0000, 0.0000, 0.0000), Co at (0.5000, 0.0000, 0.5000), Pb at (0.0000, 0.5000, 0.5000) and Cl at (0.5000, 0.5000, 0.0000).


<C>
## Co2PbCl (PBE-GGA)

Data for crystalline Co2PbCl at its relaxed geometry.

The value obtained for the magnetization is 3.2 μB/f.u.

The structure belongs to space group Cm (No. 8); the cell edges are 12.8442, 3.3385 and 4.3122 Å and the angles 90.00°, 90.83° and 90.00°. Symmetry generates all atoms from Co at (0.0000, 0.0000, 0.0000), Co at (0.1182, 0.5000, 0.0064), Pb at (0.4740, 0.0000, 0.4992) and Cl at (0.2443, 0.0000, 0.0085).


Q: What are the energies relative to the best structure? A: <A> 0; <B> 408; <C> 59, in meV/atom.


<A>
## Co2PbCl (PBE-GGA)

Data for crystalline Co2PbCl at its relaxed geometry.

The value obtained for the magnetization is 2.8 μB/f.u.

The structure belongs to space group Cmmm (No. 65); the cell edges are 6.3235, 6.6362 and 3.1976 Å and the angles 90.00°, 90.00° and 90.00°. Symmetry generates all atoms from Co at (0.2500, 0.2500, 0.0000), Pb at (0.0000, 0.0000, 0.5000) and Cl at (0.0000, 0.5000, 0.5000).


<B>
## Co2PbCl (PBE-GGA)

Data for crystalline Co2PbCl at its relaxed geometry.

The value obtained for the magnetization is 3.7 μB/f.u.

The structure belongs to space group Cmm2 (No. 35); the cell edges are 4.3338, 4.7680 and 7.6579 Å and the angles 90.00°, 90.00° and 90.00°. Symmetry generates all atoms from Co at (0.0000, 0.0000, 0.0000), Co at (0.0000, 0.5000, 0.1244), Pb at (0.0000, 0.5000, 0.7483) and Cl at (0.0000, 0.0000, 0.3077).


Q: What are the energies relative to the best structure? A: <A> 521; <B> 0, in meV/atom.


<A>
## CoPbCl3 (PBE-GGA)

Data for crystalline CoPbCl3 at its relaxed geometry.

The value obtained for the magnetization is 2.1 μB/f.u.

The structure belongs to space group Pm-3m (No. 221); the cell edges are 4.8190, 4.8190 and 4.8190 Å and the angles 90.00°, 90.00° and 90.00°. Symmetry generates all atoms from Co at (0.0000, 0.0000, 0.0000), Pb at (0.5000, 0.5000, 0.5000) and Cl at (0.0000, 0.0000, 0.5000).


<B>
## CoPbCl3 (PBE-GGA)

Data for crystalline CoPbCl3 at its relaxed geometry.

The value obtained for the magnetization is 2.2 μB/f.u.

The structure belongs to space group Pm-3m (No. 221); the cell edges are 5.6013, 5.6013 and 5.6013 Å and the angles 90.00°, 90.00° and 90.00°. Symmetry generates all atoms from Co at (0.0000, 0.0000, 0.0000), Pb at (0.5000, 0.5000, 0.5000) and Cl at (0.0000, 0.5000, 0.5000).


Q: What are the energies relative to the best structure? A: <A> 0; <B> 551, in meV/atom.


<A>
## CoPbCl (PBE-GGA)

Data for crystalline CoPbCl at its relaxed geometry.

The value obtained for the magnetization is 1.9 μB/f.u.

The structure belongs to space group I4mm (No. 107); the cell edges are 3.1454, 3.1454 and 13.5939 Å and the angles 90.00°, 90.00° and 90.00°. Symmetry generates all atoms from Co at (0.0000, 0.0000, 0.0000), Pb at (0.0000, 0.0000, 0.6528) and Cl at (0.0000, 0.0000, 0.4118).


<B>
## CoPbCl (PBE-GGA)

Data for crystalline CoPbCl at its relaxed geometry.

The value obtained for the magnetization is 0.1 μB/f.u.

The structure belongs to space group F-43m (No. 216); the cell edges are 6.3265, 6.3265 and 6.3265 Å and the angles 90.00°, 90.00° and 90.00°. Symmetry generates all atoms from Co at (0.0000, 0.0000, 0.0000), Pb at (0.2500, 0.2500, 0.2500) and Cl at (0.2500, 0.2500, 0.7500).


<C>
## CoPbCl (PBE-GGA)

Data for crystalline CoPbCl at its relaxed geometry.

The value obtained for the magnetization is 1.9 μB/f.u.

The structure belongs to space group P3m1 (No. 156); the cell edges are 3.3818, 3.3818 and 7.2404 Å and the angles 90.00°, 90.00° and 120.00°. Symmetry generates all atoms from Co at (0.0000, 0.0000, 0.0000), Pb at (0.6667, 0.3333, 0.3011) and Cl at (0.3333, 0.6667, 0.8275).


<D>
## CoPbCl (PBE-GGA)

Data for crystalline CoPbCl at its relaxed geometry.

The value obtained for the magnetization is 2.0 μB/f.u.

The structure belongs to space group Fmm2 (No. 42); the cell edges are 3.5028, 5.7034 and 14.1630 Å and the angles 90.00°, 90.00° and 90.00°. Symmetry generates all atoms from Co at (0.0000, 0.0000, 0.0000), Pb at (0.0000, 0.0000, 0.3425) and Cl at (0.0000, 0.0000, 0.6013).


Q: What are the energies relative to the best structure? A: <A> 191; <B> 397; <C> 0; <D> 169, in meV/atom.